[1]
# HoLuAgRh | Alexandria | PBE | optimized geometry
# Total DFT energy (no corrections), eV/cell: -87.1
# Density of states at the Fermi level, states/eV/atom: 0.85
# Size of the total moment, μB/f.u.: 0.00
# E_form, eV per atom: -0.62
# V, Å³/atom: 21.14
data_HoLuAgRh
_chemical_formula_sum 'Ho4 Lu4 Ag4 Rh4'
_cell_length_a 6.9670
_cell_length_b 6.9670
_cell_length_c 6.9670
_cell_angle_alpha 90.00
_cell_angle_beta 90.00
_cell_angle_gamma 90.00
_symmetry_space_group_name_H-M 'F -4 3 m'
_symmetry_Int_Tables_number 216
_symmetry_space_group_name_Hall 'F -4 2 3'
loop_
_atom_site_label
_atom_site_type_symbol
_atom_site_fract_x
_atom_site_fract_y
_atom_site_fract_z
_atom_site_occupancy
Ho1 Ho 0.0000 0.0000 0.0000 1
Lu1 Lu 0.0000 0.0000 0.5000 1
Ag1 Ag 0.2500 0.2500 0.7500 1
Rh1 Rh 0.2500 0.2500 0.2500 1



[2]
# YZrOsC2 | Alexandria | PBE | optimized geometry
# Total DFT energy (no corrections), eV/cell: -33.6
# Density of states at the Fermi level, states/eV/atom: 1.03
# Size of the total moment, μB/f.u.: 0.00
# E_form, eV per atom: 2.22
# V, Å³/atom: 19.08
data_YZrOsC2
_chemical_formula_sum 'Y1 Zr1 Os1 C2'
_cell_length_a 4.2857
_cell_length_b 4.2857
_cell_length_c 5.1930
_cell_angle_alpha 90.00
_cell_angle_beta 90.00
_cell_angle_gamma 90.00
_symmetry_space_group_name_H-M 'P 4/m m m'
_symmetry_Int_Tables_number 123
_symmetry_space_group_name_Hall '-P 4 2'
loop_
_atom_site_label
_atom_site_type_symbol
_atom_site_fract_x
_atom_site_fract_y
_atom_site_fract_z
_atom_site_occupancy
Y1 Y 0.0000 0.0000 0.0000 1
Zr1 Zr 0.5000 0.5000 0.5000 1
Os1 Os 0.0000 0.0000 0.5000 1
C1 C 0.0000 0.5000 0.0000 1



[3]
# Ac4NiIr | Alexandria | PBE | optimized geometry
# Total DFT energy (no corrections), eV/cell: -33.4
# Density of states at the Fermi level, states/eV/atom: 0.76
# Size of the total moment, μB/f.u.: 0.00
# Distance to the lowest polymorph of the same formula, meV per atom: 0
# E_form, eV per atom: -0.38
# V, Å³/atom: 38.16
data_Ac4NiIr
_chemical_formula_sum 'Ac4 Ni1 Ir1'
_cell_length_a 6.9891
_cell_length_b 4.3543
_cell_length_c 7.5229
_cell_angle_alpha 90.00
_cell_angle_beta 90.16
_cell_angle_gamma 90.00
_symmetry_space_group_name_H-M 'P 1 2/m 1'
_symmetry_Int_Tables_number 10
loop_
_symmetry_equiv_pos_as_xyz
'x,y,z'
'-x,-y,-z'
'-x,y,-z'
'x,-y,z'
loop_
_atom_site_label
_atom_site_type_symbol
_atom_site_fract_x
_atom_site_fract_y
_atom_site_fract_z
_atom_site_occupancy
Ac1 Ac 0.2238 0.0000 0.3349 1
Ac2 Ac 0.2285 0.5000 0.8345 1
Ni1 Ni 0.0000 0.5000 0.5000 1
Ir1 Ir 0.0000 0.0000 0.0000 1



[4]
# PaSnTe2 | Alexandria | PBE | optimized geometry
# Total DFT energy (no corrections), eV/cell: -85.6
# Density of states at the Fermi level, states/eV/atom: 1.48
# Size of the total moment, μB/f.u.: 1.52
# Formation energy without anion corrections, kJ per mole of atoms: -38.8
# V, Å³/atom: 33.38
data_PaSnTe2
_chemical_formula_sum 'Pa4 Sn4 Te8'
_cell_length_a 3.8810
_cell_length_b 28.8707
_cell_length_c 4.7668
_cell_angle_alpha 90.00
_cell_angle_beta 90.00
_cell_angle_gamma 90.00
_symmetry_space_group_name_H-M 'C m c m'
_symmetry_Int_Tables_number 63
_symmetry_space_group_name_Hall '-C 2c 2'
loop_
_atom_site_label
_atom_site_type_symbol
_atom_site_fract_x
_atom_site_fract_y
_atom_site_fract_z
_atom_site_occupancy
Pa1 Pa 0.0000 0.1865 0.2500 1
Sn1 Sn 0.0000 0.4657 0.2500 1
Te1 Te 0.0000 0.2966 0.2500 1
Te2 Te 0.0000 0.3975 0.7500 1



[5]
# Ac2PmRuN4 | Alexandria | PBE | optimized geometry
# Total DFT energy (no corrections), eV/cell: -243.1
# Density of states at the Fermi level, states/eV/atom: 0.22
# Size of the total moment, μB/f.u.: 0.00
# Formation energy without anion corrections, kJ per mole of atoms: -63.0
# V, Å³/atom: 18.10
data_Ac2PmRuN4
_chemical_formula_sum 'Ac8 Pm4 Ru4 N16'
_cell_length_a 3.5908
_cell_length_b 12.5747
_cell_length_c 12.8280
_cell_angle_alpha 90.00
_cell_angle_beta 90.00
_cell_angle_gamma 90.00
_symmetry_space_group_name_H-M 'C m c m'
_symmetry_Int_Tables_number 63
_symmetry_space_group_name_Hall '-C 2c 2'
loop_
_atom_site_label
_atom_site_type_symbol
_atom_site_fract_x
_atom_site_fract_y
_atom_site_fract_z
_atom_site_occupancy
Ac1 Ac 0.0000 0.1324 0.0426 1
Pm1 Pm 0.0000 0.3707 0.2500 1
Ru1 Ru 0.0000 0.3440 0.7500 1
N1 N 0.0000 0.0891 0.2500 1
N2 N 0.0000 0.2195 0.6439 1
N3 N 0.0000 0.5000 0.0000 1



[6]
# RbTbNiSe3 | Alexandria | PBE | optimized geometry
# Total DFT energy (no corrections), eV/cell: -57.7
# Density of states at the Fermi level, states/eV/atom: 0.56
# Size of the total moment, μB/f.u.: 1.84
# Formation energy without anion corrections, kJ per mole of atoms: -113.1
# V, Å³/atom: 28.71
data_RbTbNiSe3
_chemical_formula_sum 'Rb2 Tb2 Ni2 Se6'
_cell_length_a 4.1135
_cell_length_b 10.8542
_cell_length_c 7.9859
_cell_angle_alpha 90.00
_cell_angle_beta 104.91
_cell_angle_gamma 90.00
_symmetry_space_group_name_H-M 'P 1 21/m 1'
_symmetry_Int_Tables_number 11
loop_
_symmetry_equiv_pos_as_xyz
'x,y,z'
'-x,-y,-z'
'-x,y+1/2,-z'
'x,-y+1/2,z'
loop_
_atom_site_label
_atom_site_type_symbol
_atom_site_fract_x
_atom_site_fract_y
_atom_site_fract_z
_atom_site_occupancy
Rb1 Rb 0.2447 0.2500 0.4890 1
Tb1 Tb 0.5000 0.0000 0.0000 1
Ni1 Ni 0.0279 0.7500 0.0579 1
Se1 Se 0.1199 0.5710 0.2401 1
Se2 Se 0.4426 0.7500 0.8863 1